# Nd2Dy5YHo

Nd2Dy5YHo after structural relaxation (GGA-PBE, Alexandria).

Lattice parameters (Å, degrees): 9.9779 9.9779 9.9779 128.83 128.83 75.29
Positions (direct):
Nd (0.1184, 0.6184, 0.7368)
Nd (0.3816, 0.1184, 0.5000)
Nd (0.6184, 0.8816, 0.5000)
Nd (0.8816, 0.3816, 0.2632)
Dy (0.0000, 0.0000, 0.0000)
Dy (0.0722, 0.1466, 0.5000)
Dy (0.1466, 0.6466, 0.0744)
Dy (0.3534, 0.4278, 0.5000)
Dy (0.4278, 0.9278, 0.0744)
Dy (0.5000, 0.5000, 0.0000)
Dy (0.5722, 0.0722, 0.9256)
Dy (0.6466, 0.5722, 0.5000)
Dy (0.8534, 0.3534, 0.9256)
Dy (0.9278, 0.8534, 0.5000)
Y (0.2500, 0.2500, 0.0000)
Y (0.7500, 0.7500, 0.0000)
Ho (0.2500, 0.7500, 0.5000)
Ho (0.7500, 0.2500, 0.5000)

- VASP energy (eV per atom) = -4.57
- volume (Å³ per cell) = 586.8
- symmetry = I4/mcm (140)
- calculated formation energy (eV/atom) = 0.27
- Fermi-level density of states (states/eV per atom) = 1.341

# Nd3Dy6YHo2

Nd3Dy6YHo2 after structural relaxation (GGA-PBE, Alexandria).

Lattice parameters (Å, degrees): 6.1998 6.1998 11.8404 94.99 94.99 119.98
Positions (direct):
Nd (0.0000, 0.0000, 0.0000)
Nd (0.3333, 0.6667, 0.0000)
Nd (0.6667, 0.3333, 0.0000)
Dy (0.0834, 0.4175, 0.2537)
Dy (0.2484, 0.2484, 0.7463)
Dy (0.4175, 0.0834, 0.2537)
Dy (0.5825, 0.9166, 0.7463)
Dy (0.7516, 0.7516, 0.2537)
Dy (0.9166, 0.5825, 0.7463)
Y (0.5000, 0.5000, 0.5000)
Ho (0.1666, 0.8334, 0.5000)
Ho (0.8334, 0.1666, 0.5000)

- VASP energy (eV per atom) = -4.78
- volume (Å³ per cell) = 388.2
- symmetry = C2/m (12)
- calculated formation energy (eV/atom) = 0.02
- Fermi-level density of states (states/eV per atom) = 1.341

# Nd2DyY2Ho2

Nd2DyY2Ho2 after structural relaxation (GGA-PBE, Alexandria).

Lattice parameters (Å, degrees): 6.1467 6.1467 11.8369 107.93 107.93 33.30
Positions (direct):
Nd (0.1725, 0.1725, 0.0858)
Nd (0.8275, 0.8275, 0.9142)
Dy (0.5000, 0.5000, 0.5000)
Y (0.0485, 0.0485, 0.7702)
Y (0.9515, 0.9515, 0.2298)
Ho (0.2719, 0.2719, 0.6347)
Ho (0.7281, 0.7281, 0.3653)

- VASP energy (eV per atom) = -5.09
- volume (Å³ per cell) = 232.5
- symmetry = C2/m (12)
- calculated formation energy (eV/atom) = 0.09
- Fermi-level density of states (states/eV per atom) = 1.685

# NdDy6Y2Ho

NdDy6Y2Ho after structural relaxation (GGA-PBE, Alexandria).

Lattice parameters (Å, degrees): 8.8132 8.8132 9.4331 92.96 92.96 117.08
Positions (direct):
Nd (0.0310, 0.9690, 0.7500)
Nd (0.9690, 0.0310, 0.2500)
Dy (0.0133, 0.5614, 0.6837)
Dy (0.1215, 0.7561, 0.0579)
Dy (0.2439, 0.8785, 0.4421)
Dy (0.2911, 0.5168, 0.8846)
Dy (0.4386, 0.9867, 0.8163)
Dy (0.4832, 0.7089, 0.6154)
Dy (0.5168, 0.2911, 0.3846)
Dy (0.5614, 0.0133, 0.1837)
Dy (0.7089, 0.4832, 0.1154)
Dy (0.7561, 0.1215, 0.5579)
Dy (0.8785, 0.2439, 0.9421)
Dy (0.9867, 0.4386, 0.3163)
Y (0.2019, 0.3042, 0.5493)
Y (0.3042, 0.2019, 0.0493)
Y (0.6958, 0.7981, 0.9507)
Y (0.7981, 0.6958, 0.4507)
Ho (0.4106, 0.5894, 0.2500)
Ho (0.5894, 0.4106, 0.7500)

- VASP energy (eV per atom) = -4.86
- volume (Å³ per cell) = 649.2
- symmetry = C2/c (15)
- calculated formation energy (eV/atom) = 0.12
- Fermi-level density of states (states/eV per atom) = 1.517

# NdDy2Y6Ho

NdDy2Y6Ho after structural relaxation (GGA-PBE, Alexandria).

Lattice parameters (Å, degrees): 8.7660 8.7660 9.7289 94.80 94.80 117.32
Positions (direct):
Nd (0.0944, 0.9056, 0.7500)
Nd (0.9056, 0.0944, 0.2500)
Dy (0.2088, 0.3087, 0.9549)
Dy (0.3087, 0.2088, 0.4549)
Dy (0.6913, 0.7912, 0.5451)
Dy (0.7912, 0.6913, 0.0451)
Y (0.0029, 0.7944, 0.3802)
Y (0.0751, 0.5234, 0.1823)
Y (0.2056, 0.9971, 0.1198)
Y (0.2507, 0.6195, 0.5560)
Y (0.3805, 0.7493, 0.9440)
Y (0.4766, 0.9249, 0.3177)
Y (0.5234, 0.0751, 0.6823)
Y (0.6195, 0.2507, 0.0560)
Y (0.7493, 0.3805, 0.4440)
Y (0.7944, 0.0029, 0.8802)
Y (0.9249, 0.4766, 0.8177)
Y (0.9971, 0.2056, 0.6198)
Ho (0.4776, 0.5224, 0.2500)
Ho (0.5224, 0.4776, 0.7500)

- VASP energy (eV per atom) = -5.61
- volume (Å³ per cell) = 655.6
- symmetry = C2/c (15)
- calculated formation energy (eV/atom) = 0.12
- Fermi-level density of states (states/eV per atom) = 1.572

# Nd2DyY2Ho

Nd2DyY2Ho after structural relaxation (GGA-PBE, Alexandria).

Lattice parameters (Å, degrees): 6.6617 17.7227 3.4011 90.00 90.00 90.00
Positions (direct):
Nd (0.2358, 0.1493, 0.0000)
Nd (0.2642, 0.6493, 0.5000)
Nd (0.7358, 0.3507, 0.5000)
Nd (0.7642, 0.8507, 0.0000)
Dy (0.0000, 0.0000, 0.5000)
Dy (0.5000, 0.5000, 0.0000)
Y (0.2399, 0.3214, 0.5000)
Y (0.2601, 0.8214, 0.0000)
Y (0.7399, 0.1786, 0.0000)
Y (0.7601, 0.6786, 0.5000)
Ho (0.0000, 0.5000, 0.5000)
Ho (0.5000, 0.0000, 0.0000)

- VASP energy (eV per atom) = -5.02
- volume (Å³ per cell) = 401.5
- symmetry = Pnnm (58)
- calculated formation energy (eV/atom) = 0.25
- Fermi-level density of states (states/eV per atom) = 1.483

# Nd2Dy6YHo3

Nd2Dy6YHo3 after structural relaxation (GGA-PBE, Alexandria).

Lattice parameters (Å, degrees): 6.1698 6.1698 11.8109 94.97 94.97 119.96
Positions (direct):
Nd (0.1666, 0.8334, 0.0000)
Nd (0.8334, 0.1666, 0.0000)
Dy (0.0817, 0.4149, 0.7466)
Dy (0.2521, 0.2521, 0.2536)
Dy (0.4149, 0.0817, 0.7466)
Dy (0.5851, 0.9183, 0.2534)
Dy (0.7479, 0.7479, 0.7464)
Dy (0.9183, 0.5851, 0.2534)
Y (0.5000, 0.5000, 0.0000)
Ho (0.0000, 0.0000, 0.5000)
Ho (0.3336, 0.6664, 0.5000)
Ho (0.6664, 0.3336, 0.5000)

- VASP energy (eV per atom) = -4.76
- volume (Å³ per cell) = 383.7
- symmetry = C2/m (12)
- calculated formation energy (eV/atom) = 0.02
- Fermi-level density of states (states/eV per atom) = 1.295

# Nd3DyYHo

Nd3DyYHo after structural relaxation (GGA-PBE, Alexandria).

Lattice parameters (Å, degrees): 8.0880 8.0880 10.2277 90.00 90.00 143.18
Positions (direct):
Nd (0.1649, 0.8351, 0.0000)
Nd (0.1649, 0.8351, 0.5000)
Nd (0.3347, 0.6653, 0.7500)
Nd (0.6653, 0.3347, 0.2500)
Nd (0.8351, 0.1649, 0.0000)
Nd (0.8351, 0.1649, 0.5000)
Dy (0.5000, 0.5000, 0.0000)
Dy (0.5000, 0.5000, 0.5000)
Y (0.3349, 0.6651, 0.2500)
Y (0.6651, 0.3349, 0.7500)
Ho (0.0007, 0.9993, 0.7500)
Ho (0.9993, 0.0007, 0.2500)

- VASP energy (eV per atom) = -4.97
- volume (Å³ per cell) = 400.9
- symmetry = Cmcm (63)
- calculated formation energy (eV/atom) = 0.02
- Fermi-level density of states (states/eV per atom) = 1.463

# NdDy2Y4Ho2

NdDy2Y4Ho2 after structural relaxation (GGA-PBE, Alexandria).

Lattice parameters (Å, degrees): 9.5141 9.5141 9.5613 115.24 115.24 21.80
Positions (direct):
Nd (0.0000, 0.0000, 0.0000)
Dy (0.1485, 0.1485, 0.6674)
Dy (0.8515, 0.8515, 0.3326)
Y (0.1860, 0.1860, 0.3343)
Y (0.4811, 0.4811, 0.6641)
Y (0.5189, 0.5189, 0.3359)
Y (0.8140, 0.8140, 0.6657)
Ho (0.3320, 0.3320, 0.0002)
Ho (0.6680, 0.6680, 0.9998)

- VASP energy (eV per atom) = -5.44
- volume (Å³ per cell) = 289.5
- symmetry = C2/m (12)
- calculated formation energy (eV/atom) = 0.00
- Fermi-level density of states (states/eV per atom) = 1.391

# NdDy6Y3Ho2

NdDy6Y3Ho2 after structural relaxation (GGA-PBE, Alexandria).

Lattice parameters (Å, degrees): 6.1590 6.1590 11.7986 94.97 94.97 119.95
Positions (direct):
Nd (0.0000, 0.0000, 0.0000)
Dy (0.0836, 0.4175, 0.2501)
Dy (0.2506, 0.2506, 0.7501)
Dy (0.4175, 0.0836, 0.2501)
Dy (0.5825, 0.9164, 0.7499)
Dy (0.7494, 0.7494, 0.2499)
Dy (0.9164, 0.5825, 0.7499)
Y (0.1669, 0.8331, 0.5000)
Y (0.5000, 0.5000, 0.5000)
Y (0.8331, 0.1669, 0.5000)
Ho (0.3333, 0.6667, 0.0000)
Ho (0.6667, 0.3333, 0.0000)

- VASP energy (eV per atom) = -5.06
- volume (Å³ per cell) = 381.9
- symmetry = C2/m (12)
- calculated formation energy (eV/atom) = 0.02
- Fermi-level density of states (states/eV per atom) = 1.347

# Nd5DyYHo2

Nd5DyYHo2 after structural relaxation (GGA-PBE, Alexandria).

Lattice parameters (Å, degrees): 10.6360 10.6360 10.6875 90.00 90.00 149.13
Positions (direct):
Nd (0.0153, 0.9847, 0.5000)
Nd (0.2787, 0.7213, 0.7956)
Nd (0.2970, 0.7030, 0.1907)
Nd (0.3853, 0.6147, 0.5049)
Nd (0.4827, 0.5173, 0.2267)
Nd (0.5173, 0.4827, 0.7267)
Nd (0.6147, 0.3853, 0.0049)
Nd (0.7030, 0.2970, 0.6907)
Nd (0.7213, 0.2787, 0.2956)
Nd (0.9847, 0.0153, 0.0000)
Dy (0.1993, 0.8007, 0.4942)
Dy (0.8007, 0.1993, 0.9942)
Y (0.4074, 0.5926, 0.9447)
Y (0.5926, 0.4074, 0.4447)
Ho (0.1130, 0.8870, 0.2212)
Ho (0.1145, 0.8855, 0.7921)
Ho (0.8855, 0.1145, 0.2921)
Ho (0.8870, 0.1130, 0.7212)

- VASP energy (eV per atom) = -4.75
- volume (Å³ per cell) = 620.4
- symmetry = Cmc2_1 (36)
- calculated formation energy (eV/atom) = 0.15
- Fermi-level density of states (states/eV per atom) = 1.630

# Nd2DyY5Ho

Nd2DyY5Ho after structural relaxation (GGA-PBE, Alexandria).

Lattice parameters (Å, degrees): 9.9809 9.9809 9.9809 128.62 128.62 75.62
Positions (direct):
Nd (0.1177, 0.6177, 0.7355)
Nd (0.3823, 0.1177, 0.5000)
Nd (0.6177, 0.8823, 0.5000)
Nd (0.8823, 0.3823, 0.2645)
Dy (0.2500, 0.2500, 0.0000)
Dy (0.7500, 0.7500, 0.0000)
Y (0.0000, 0.0000, 0.0000)
Y (0.0715, 0.1489, 0.5000)
Y (0.1489, 0.6489, 0.0774)
Y (0.3511, 0.4285, 0.5000)
Y (0.4285, 0.9285, 0.0774)
Y (0.5000, 0.5000, 0.0000)
Y (0.5715, 0.0715, 0.9226)
Y (0.6489, 0.5715, 0.5000)
Y (0.8511, 0.3511, 0.9226)
Y (0.9285, 0.8511, 0.5000)
Ho (0.2500, 0.7500, 0.5000)
Ho (0.7500, 0.2500, 0.5000)

- VASP energy (eV per atom) = -5.41
- volume (Å³ per cell) = 590.4
- symmetry = I4/mcm (140)
- calculated formation energy (eV/atom) = 0.26
- Fermi-level density of states (states/eV per atom) = 1.319

# NdDyY3Ho

NdDyY3Ho after structural relaxation (GGA-PBE, Alexandria).

Lattice parameters (Å, degrees): 7.9991 7.9991 10.1224 90.00 90.00 143.15
Positions (direct):
Nd (0.0000, 0.0000, 0.0000)
Nd (0.0000, 0.0000, 0.5000)
Dy (0.4994, 0.5006, 0.7500)
Dy (0.5006, 0.4994, 0.2500)
Y (0.1669, 0.8331, 0.7500)
Y (0.3329, 0.6671, 0.9997)
Y (0.3329, 0.6671, 0.5003)
Y (0.6671, 0.3329, 0.0003)
Y (0.6671, 0.3329, 0.4997)
Y (0.8331, 0.1669, 0.2500)
Ho (0.1663, 0.8337, 0.2500)
Ho (0.8337, 0.1663, 0.7500)

- VASP energy (eV per atom) = -5.53
- volume (Å³ per cell) = 388.5
- symmetry = Cmcm (63)
- calculated formation energy (eV/atom) = 0.02
- Fermi-level density of states (states/eV per atom) = 1.427

# Nd3Dy2YHo6

Nd3Dy2YHo6 after structural relaxation (GGA-PBE, Alexandria).

Lattice parameters (Å, degrees): 6.1902 6.1902 11.8002 95.00 95.00 119.97
Positions (direct):
Nd (0.0000, 0.0000, 0.0000)
Nd (0.3333, 0.6667, 0.0000)
Nd (0.6667, 0.3333, 0.0000)
Dy (0.1666, 0.8334, 0.5000)
Dy (0.8334, 0.1666, 0.5000)
Y (0.5000, 0.5000, 0.5000)
Ho (0.0833, 0.4174, 0.2532)
Ho (0.2486, 0.2486, 0.7468)
Ho (0.4174, 0.0833, 0.2532)
Ho (0.5826, 0.9167, 0.7468)
Ho (0.7514, 0.7514, 0.2532)
Ho (0.9167, 0.5826, 0.7468)

- VASP energy (eV per atom) = -4.77
- volume (Å³ per cell) = 385.7
- symmetry = C2/m (12)
- calculated formation energy (eV/atom) = 0.02
- Fermi-level density of states (states/eV per atom) = 1.315

# NdDy2Y3Ho6

NdDy2Y3Ho6 after structural relaxation (GGA-PBE, Alexandria).

Lattice parameters (Å, degrees): 6.1490 6.1490 11.7762 94.97 94.97 119.95
Positions (direct):
Nd (0.0000, 0.0000, 0.0000)
Dy (0.3334, 0.6666, 0.0000)
Dy (0.6666, 0.3334, 0.0000)
Y (0.1669, 0.8331, 0.5000)
Y (0.5000, 0.5000, 0.5000)
Y (0.8331, 0.1669, 0.5000)
Ho (0.0843, 0.4181, 0.2504)
Ho (0.2498, 0.2498, 0.7497)
Ho (0.4181, 0.0843, 0.2504)
Ho (0.5819, 0.9157, 0.7496)
Ho (0.7502, 0.7502, 0.2503)
Ho (0.9157, 0.5819, 0.7496)

- VASP energy (eV per atom) = -5.05
- volume (Å³ per cell) = 380.0
- symmetry = C2/m (12)
- calculated formation energy (eV/atom) = 0.02
- Fermi-level density of states (states/eV per atom) = 1.370

# NdDy2Y2Ho

NdDy2Y2Ho after structural relaxation (GGA-PBE, Alexandria).

Lattice parameters (Å, degrees): 6.5368 17.8382 3.4119 90.00 90.00 90.00
Positions (direct):
Nd (0.0000, 0.0000, 0.0000)
Nd (0.5000, 0.5000, 0.5000)
Dy (0.2194, 0.3530, 0.5000)
Dy (0.2806, 0.8530, 0.0000)
Dy (0.7194, 0.1470, 0.0000)
Dy (0.7806, 0.6470, 0.5000)
Y (0.2219, 0.1865, 0.0000)
Y (0.2781, 0.6865, 0.5000)
Y (0.7219, 0.3135, 0.5000)
Y (0.7781, 0.8135, 0.0000)
Ho (0.0000, 0.5000, 0.0000)
Ho (0.5000, 0.0000, 0.5000)

- VASP energy (eV per atom) = -4.98
- volume (Å³ per cell) = 397.8
- symmetry = Pnnm (58)
- calculated formation energy (eV/atom) = 0.27
- Fermi-level density of states (states/eV per atom) = 1.645

# Nd3Dy6Y2Ho

Nd3Dy6Y2Ho after structural relaxation (GGA-PBE, Alexandria).

Lattice parameters (Å, degrees): 6.2064 6.2064 11.8527 94.99 94.99 119.98
Positions (direct):
Nd (0.0000, 0.0000, 0.0000)
Nd (0.3333, 0.6667, 0.0000)
Nd (0.6667, 0.3333, 0.0000)
Dy (0.0849, 0.4174, 0.2533)
Dy (0.2500, 0.2500, 0.7469)
Dy (0.4174, 0.0849, 0.2533)
Dy (0.5826, 0.9151, 0.7467)
Dy (0.7500, 0.7500, 0.2531)
Dy (0.9151, 0.5826, 0.7467)
Y (0.1666, 0.8334, 0.5000)
Y (0.8334, 0.1666, 0.5000)
Ho (0.5000, 0.5000, 0.5000)

- VASP energy (eV per atom) = -4.93
- volume (Å³ per cell) = 389.4
- symmetry = C2/m (12)
- calculated formation energy (eV/atom) = 0.02
- Fermi-level density of states (states/eV per atom) = 1.363

# Nd3Dy2Y6Ho

Nd3Dy2Y6Ho after structural relaxation (GGA-PBE, Alexandria).

Lattice parameters (Å, degrees): 6.2247 6.2247 11.8589 95.00 95.00 119.97
Positions (direct):
Nd (0.0000, 0.0000, 0.0000)
Nd (0.3333, 0.6667, 0.0000)
Nd (0.6667, 0.3333, 0.0000)
Dy (0.1666, 0.8334, 0.5000)
Dy (0.8334, 0.1666, 0.5000)
Y (0.0845, 0.4178, 0.2535)
Y (0.2490, 0.2490, 0.7466)
Y (0.4178, 0.0845, 0.2535)
Y (0.5822, 0.9155, 0.7465)
Y (0.7510, 0.7510, 0.2534)
Y (0.9155, 0.5822, 0.7465)
Ho (0.5000, 0.5000, 0.5000)

- VASP energy (eV per atom) = -5.55
- volume (Å³ per cell) = 392.0
- symmetry = C2/m (12)
- calculated formation energy (eV/atom) = 0.02
- Fermi-level density of states (states/eV per atom) = 1.397

# Nd2DyYHo5

Nd2DyYHo5 after structural relaxation (GGA-PBE, Alexandria).

Lattice parameters (Å, degrees): 9.9459 9.9459 9.9459 128.73 128.73 75.45
Positions (direct):
Nd (0.1180, 0.6180, 0.7360)
Nd (0.3820, 0.1180, 0.5000)
Nd (0.6180, 0.8820, 0.5000)
Nd (0.8820, 0.3820, 0.2640)
Dy (0.2500, 0.2500, 0.0000)
Dy (0.7500, 0.7500, 0.0000)
Y (0.2500, 0.7500, 0.5000)
Y (0.7500, 0.2500, 0.5000)
Ho (0.0000, 0.0000, 0.0000)
Ho (0.0730, 0.1463, 0.5000)
Ho (0.1463, 0.6463, 0.0733)
Ho (0.3537, 0.4270, 0.5000)
Ho (0.4270, 0.9270, 0.0733)
Ho (0.5000, 0.5000, 0.0000)
Ho (0.5730, 0.0730, 0.9267)
Ho (0.6463, 0.5730, 0.5000)
Ho (0.8537, 0.3537, 0.9267)
Ho (0.9270, 0.8537, 0.5000)

- VASP energy (eV per atom) = -4.56
- volume (Å³ per cell) = 582.6
- symmetry = I4/mcm (140)
- calculated formation energy (eV/atom) = 0.27
- Fermi-level density of states (states/eV per atom) = 1.300